# 1
Compound: NiBSbRh2
Source: Alexandria
Functional: GGA-PBEsol
Structure: optimized geometry

Results
Uncorrected formation energy (eV/atom): 1.847

a = 4.130 Å, b = 4.790 Å, c = 4.790 Å
α = 90.00°, β = 90.00°, γ = 90.00°
Positions (direct):
Sb (0.000, 0.000, 0.000)
B (0.500, 0.000, 0.000)
Rh (0.000, 0.000, 0.500)
Rh (0.000, 0.500, 0.000)
Ni (0.500, 0.500, 0.500)

=====

# 2
Compound: NiB2Ru2
Source: Alexandria
Functional: GGA-PBEsol
Structure: optimized geometry

Results
Formation energy from the elements (meV per atom): -269

a = 3.352 Å, b = 5.334 Å, c = 5.334 Å
α = 90.00°, β = 90.00°, γ = 90.00°
Positions (direct):
Ru (0.500, 0.175, 0.675)
Ru (0.500, 0.675, 0.825)
Ru (0.500, 0.825, 0.325)
Ru (0.500, 0.325, 0.175)
B (0.000, 0.377, 0.877)
B (0.000, 0.877, 0.623)
B (0.000, 0.623, 0.123)
B (0.000, 0.123, 0.377)
Ni (0.000, 0.000, 0.000)
Ni (0.000, 0.500, 0.500)

=====

# 3
Compound: NiBS2
Source: Alexandria
Functional: GGA-PBEsol
Structure: optimized geometry

Results
Uncorrected formation energy (eV/atom): 0.008

a = 3.486 Å, b = 3.486 Å, c = 6.078 Å
α = 73.34°, β = 73.34°, γ = 60.00°
Positions (direct):
Ni (0.500, 0.500, 0.500)
S (0.901, 0.901, 0.296)
S (0.099, 0.099, 0.704)
B (0.000, 0.000, 0.000)

=====

# 4
Compound: Ni2BS
Source: Alexandria
Functional: GGA-PBEsol
Structure: optimized geometry

Results
Uncorrected formation energy (eV/atom): 0.343

a = 3.823 Å, b = 3.823 Å, c = 3.823 Å
α = 60.00°, β = 60.00°, γ = 60.00°
Positions (direct):
Ni (0.250, 0.250, 0.250)
Ni (0.750, 0.750, 0.750)
S (0.500, 0.500, 0.500)
B (0.000, 0.000, 0.000)

=====

# 5
Compound: Ni2BSb
Source: Alexandria
Functional: GGA-PBEsol
Structure: optimized geometry

Results
Uncorrected formation energy (eV/atom): 0.517

a = 4.088 Å, b = 4.088 Å, c = 4.088 Å
α = 60.00°, β = 60.00°, γ = 60.00°
Positions (direct):
Sb (0.500, 0.500, 0.500)
B (0.000, 0.000, 0.000)
Ni (0.250, 0.250, 0.250)
Ni (0.750, 0.750, 0.750)

=====

# 6
Compound: NiBSb2
Source: Alexandria
Functional: GGA-PBEsol
Structure: optimized geometry

Results
Uncorrected formation energy (eV/atom): 0.356

a = 5.598 Å, b = 6.428 Å, c = 5.598 Å
α = 64.19°, β = 90.00°, γ = 115.81°
Positions (direct):
Sb (0.152, 0.750, 0.875)
Sb (0.598, 0.750, 0.375)
Sb (0.375, 0.250, 0.152)
Sb (0.875, 0.250, 0.598)
B (0.250, 0.500, 0.250)
B (0.500, 0.000, 0.500)
Ni (0.750, 0.500, 0.750)
Ni (0.000, 0.000, 0.000)

=====

# 7
Compound: NiBSb2Te
Source: Alexandria
Functional: GGA-PBEsol
Structure: optimized geometry

Results
Uncorrected formation energy (eV/atom): 0.968

a = 4.648 Å, b = 4.648 Å, c = 4.700 Å
α = 90.00°, β = 90.00°, γ = 90.00°
Positions (direct):
Sb (0.000, 0.500, 0.000)
Sb (0.500, 0.000, 0.000)
B (0.000, 0.000, 0.000)
Te (0.000, 0.000, 0.500)
Ni (0.500, 0.500, 0.500)

=====

# 8
Compound: Sc3NiB
Source: Alexandria
Functional: GGA-PBEsol
Structure: optimized geometry

Results
Formation energy from the elements (meV per atom): 50

a = 4.528 Å, b = 4.528 Å, c = 4.528 Å
α = 90.00°, β = 90.00°, γ = 90.00°
Positions (direct):
Sc (0.000, 0.500, 0.000)
Sc (0.000, 0.000, 0.500)
Sc (0.500, 0.000, 0.000)
Ni (0.500, 0.500, 0.500)
B (0.000, 0.000, 0.000)